Record 1
Below is a geometry-optimized AlRePO2 structure, with properties calculated at the GGA-PBE level.

Computed properties:
Energy (eV per atom): -6.76

a = 3.4632 Å, b = 3.4632 Å, c = 6.5384 Å
α = 90.00°, β = 90.00°, γ = 90.00°
Last column: nearest neighbours and their distance in Å.
Space group P4/mmm (No. 123)
Inequivalent atoms, fractional coordinates:
Al  0.0000  0.0000  0.0000 (multiplicity 1)  4 O 1.73
Re  0.5000  0.5000  0.5000 (multiplicity 1)  4 P 2.45
P  0.0000  0.0000  0.5000 (multiplicity 1)  4 Re 2.45
O  0.0000  0.5000  0.0000 (multiplicity 2)  2 Al 1.73


Record 2
Below is a geometry-optimized AlAsSe3 structure, with properties calculated at the GGA-PBE level.

Computed properties:
Energy (eV per atom): -4.21

a = 16.9316 Å, b = 3.5615 Å, c = 11.9046 Å
α = 90.00°, β = 119.50°, γ = 90.00°
Last column: nearest neighbours and their distance in Å.
Space group C2/m (No. 12)
Inequivalent atoms, fractional coordinates:
Al  0.1657  0.0000  0.4041 (multiplicity 4)  5 Se 2.44-2.57
As  0.0544  0.5000  0.7598 (multiplicity 4)  3 Se 2.45-2.48
Se  0.0872  0.5000  0.2275 (multiplicity 4)  1 As 2.48, 2 Al 2.57
Se  0.1370  0.0000  0.9146 (multiplicity 4)  2 As 2.45
Se  0.1805  0.5000  0.5653 (multiplicity 4)  3 Al 2.44-2.54


Record 3
Below is a geometry-optimized KYMg structure, with properties calculated at the GGA-PBE level.

Computed properties:
Formation energy from the elements (kcal/mol of atoms): 6.68

a = 3.6297 Å, b = 3.6297 Å, c = 9.4930 Å
α = 90.00°, β = 90.00°, γ = 120.00°
Last column: nearest neighbours and their distance in Å.
Space group P3m1 (No. 156)
Inequivalent atoms, fractional coordinates:
K  0.0000  0.0000  0.0000 (multiplicity 1)  6 K 3.63, 3 Mg 3.87
Y  0.6667  0.3333  0.6156 (multiplicity 1)  3 Mg 3.33, 6 Y 3.63
Mg  0.3333  0.6667  0.3430 (multiplicity 1)  3 Y 3.33, 6 Mg 3.63